A geometry-optimized GdThMgHg structure. Source: Alexandria via LeMat-Bulk, functional PBE-GGA.

**DFT formation energy**: -133 meV per atom
**Raw total energy**: -5.98 eV/atom
**DOS at the Fermi energy**: 18.3 states/eV/cell

a = 7.6233 Å, b = 7.6233 Å, c = 7.6233 Å
α = 90.00°, β = 90.00°, γ = 90.00°
Space group F-43m (No. 216)
One atom of each set of equivalent atoms:
Gd1 0.0000 0.0000 0.0000 (multiplicity 4)
Th1 0.0000 0.0000 0.5000 (multiplicity 4)
Mg1 0.2500 0.2500 0.7500 (multiplicity 4)
Hg1 0.2500 0.2500 0.2500 (multiplicity 4)